## Li3Pm3PtO8 (GGA-PBE)

Data for crystalline Li3Pm3PtO8 at its relaxed geometry.

Results
- calculated volume (Å³/cell) = 422
- formation energy (no corrections) (eV per atom) = -2.255

Cell and atoms, written as CIF:
```
data_Li3Pm3PtO8
_space_group_name_H-M_alt 'C 1 2/m 1'
_space_group_IT_number 12
_space_group_name_Hall '-C 2y'
_cell_length_a 11.0632
_cell_length_b 6.8644
_cell_length_c 6.5016
_cell_angle_alpha 90.00
_cell_angle_beta 121.28
_cell_angle_gamma 90.00
loop_
_atom_site_label
_atom_site_fract_x
_atom_site_fract_y
_atom_site_fract_z
Li1 0.0000 0.0000 0.0000
Li2 0.2500 0.2500 0.5000
Pm1 0.0000 0.5000 0.5000
Pm2 0.2500 0.2500 0.0000
Pt1 0.0000 0.5000 0.0000
O1 0.0005 0.2766 0.2214
O2 0.2214 0.5000 0.2240
O3 0.2457 0.5000 0.7530
```